No. 1
A geometry-optimized SrPmPdO4 structure. Source: Alexandria, functional PBE.

Cell lengths 7.511, 6.626, 7.348 Å; angles 123.67, 90.00, 124.52 degrees
Fractional positions:
O 0.694 0.999 0.249
O 0.306 0.001 0.751
O 0.213 0.425 0.644
O 0.213 0.425 0.281
Pd 0.000 0.500 0.500
O 0.787 0.575 0.356
Pm 0.500 0.000 0.500
Sr 0.075 0.150 0.825
Pm 0.500 0.000 0.000
O 0.695 0.001 0.751
O 0.305 0.999 0.249
O 0.787 0.575 0.719
Pd 0.500 0.500 0.500
Sr 0.925 0.850 0.175

Computed properties:
Space-group type   No. 74
Raw formation energy   -2.08 eV/atom
Crystal system   orthorhombic
Mass density   6.006 g cm⁻³
Total magnetic moment   0.00 μB per atom
E_tot   -6.576 eV per atom

=====

No. 2
A geometry-optimized TaTc4Br structure. Source: Alexandria, functional PBE.

Cell lengths 5.212, 5.212, 5.212 Å; angles 60.00, 60.00, 60.00 degrees
Fractional positions:
Tc 0.375 0.375 0.375
Ta 0.000 0.000 0.000
Tc 0.375 0.375 0.875
Tc 0.875 0.375 0.375
Tc 0.375 0.875 0.375
Br 0.750 0.750 0.750

Computed properties:
Space-group type   No. 216
Raw formation energy   0.73 eV/atom
Crystal system   cubic
Mass density   10.831 g cm⁻³
Total magnetic moment   0.00 μB per atom
E_tot   -8.433 eV per atom

=====

No. 3
A geometry-optimized Nd2HoErSe5 structure. Source: Alexandria, functional PBE.

Cell lengths 5.101, 5.101, 10.680 Å; angles 90.00, 90.00, 90.00 degrees
Fractional positions:
Se 0.000 0.000 0.246
Er 0.000 0.000 0.500
Nd 0.500 0.500 0.686
Se 0.500 0.500 0.000
Se 0.000 0.500 0.500
Se 0.500 0.000 0.500
Se 0.000 0.000 0.754
Ho 0.000 0.000 0.000
Nd 0.500 0.500 0.314

Computed properties:
Space-group type   No. 123
Raw formation energy   -1.27 eV/atom
Crystal system   tetragonal
Mass density   6.068 g cm⁻³
Total magnetic moment   0.00 μB per atom
E_tot   -5.285 eV per atom

=====

Question: Which formula does entry 2 have?
Answer: TaTc4Br

=====

Question: Which formula does entry 2 have?
Answer: TaTc4Br

=====

Question: Number 2 is which compound?
Answer: TaTc4Br

=====

Question: What is the E_tot in the first record?
Answer: -6.576 eV per atom